Entry 1:
A geometry-optimized TlSiHgRu2 structure, computed with PBE-GGA.

Calculated values
crystal system: tetragonal
E_tot: -16.34 eV for the cell shown
raw formation energy: 2060 meV/atom

CIF file:
```
data_TlSiHgRu2
_chemical_formula_sum 'Tl1 Si1 Hg1 Ru2'
_cell_length_a 5.077
_cell_length_b 5.077
_cell_length_c 5.405
_cell_angle_alpha 90.00
_cell_angle_beta 90.00
_cell_angle_gamma 90.00
_symmetry_space_group_name_H-M 'P 4/m m m'
_symmetry_Int_Tables_number 123
_symmetry_space_group_name_Hall '-P 4 2'
loop_
_atom_site_label
_atom_site_type_symbol
_atom_site_fract_x
_atom_site_fract_y
_atom_site_fract_z
_atom_site_occupancy
Tl1 Tl 0.000 0.000 0.000 1
Si1 Si 0.500 0.500 0.000 1
Hg1 Hg 0.000 0.000 0.500 1
Ru1 Ru 0.000 0.500 0.500 1
```


Entry 2:
A geometry-optimized TiCoCuW2 structure, computed with PBE-GGA.

Calculated values
crystal system: tetragonal
E_tot: -36.26 eV for the cell shown
formation enthalpy at 0 K: 1.75 eV per atom
energy relative to the lowest polymorph listed for this composition: 60.65 kJ per mole of atoms

CIF file:
```
data_TiCoCuW2
_chemical_formula_sum 'Ti1 Co1 Cu1 W2'
_cell_length_a 4.501
_cell_length_b 4.501
_cell_length_c 4.370
_cell_angle_alpha 90.00
_cell_angle_beta 90.00
_cell_angle_gamma 90.00
_symmetry_space_group_name_H-M 'P 4/m m m'
_symmetry_Int_Tables_number 123
_symmetry_space_group_name_Hall '-P 4 2'
loop_
_atom_site_label
_atom_site_type_symbol
_atom_site_fract_x
_atom_site_fract_y
_atom_site_fract_z
_atom_site_occupancy
Ti1 Ti 0.000 0.000 0.000 1
Co1 Co 0.500 0.500 0.000 1
Cu1 Cu 0.000 0.000 0.500 1
W1 W 0.000 0.500 0.500 1
```


Entry 3:
A geometry-optimized PmMnGe4 structure, computed with PBE-GGA.

Calculated values
crystal system: tetragonal
E_tot: -64.49 eV for the cell shown
formation enthalpy at 0 K: 0.02 eV per atom

CIF file:
```
data_PmMnGe4
_chemical_formula_sum 'Pm2 Mn2 Ge8'
_cell_length_a 5.240
_cell_length_b 5.240
_cell_length_c 9.727
_cell_angle_alpha 90.00
_cell_angle_beta 90.00
_cell_angle_gamma 90.00
_symmetry_space_group_name_H-M 'P 42/n m c'
_symmetry_Int_Tables_number 137
loop_
_symmetry_equiv_pos_as_xyz
'x,y,z'
'-x,-y,-z'
'-y+1/2,x,z+1/2'
'y+1/2,-x,-z+1/2'
'-x+1/2,-y+1/2,z'
'x+1/2,y+1/2,-z'
'y,-x+1/2,z+1/2'
'-y,x+1/2,-z+1/2'
'x+1/2,-y,-z'
'-x+1/2,y,z'
'-y,-x,-z+1/2'
'y,x,z+1/2'
'-x,y+1/2,-z'
'x,-y+1/2,z'
'y+1/2,x+1/2,-z+1/2'
'-y+1/2,-x+1/2,z+1/2'
loop_
_atom_site_label
_atom_site_type_symbol
_atom_site_fract_x
_atom_site_fract_y
_atom_site_fract_z
_atom_site_occupancy
Pm1 Pm 0.250 0.750 0.250 1
Mn1 Mn 0.250 0.750 0.750 1
Ge1 Ge 0.010 0.250 0.039 1
```


Entry 4:
A geometry-optimized Pm3Pr4Ho structure, computed with PBE-GGA.

Calculated values
crystal system: monoclinic
E_tot: -73.51 eV for the cell shown
formation enthalpy at 0 K: 0.15 eV per atom
energy relative to the lowest polymorph listed for this composition: 12.95 kJ per mole of atoms

CIF file:
```
data_Pm3Pr4Ho
_chemical_formula_sum 'Pm6 Pr8 Ho2'
_cell_length_a 23.861
_cell_length_b 3.540
_cell_length_c 6.977
_cell_angle_alpha 90.00
_cell_angle_beta 106.91
_cell_angle_gamma 90.00
_symmetry_space_group_name_H-M 'C 1 2/m 1'
_symmetry_Int_Tables_number 12
loop_
_symmetry_equiv_pos_as_xyz
'x,y,z'
'-x,-y,-z'
'-x,y,-z'
'x,-y,z'
'x+1/2,y+1/2,z'
'-x+1/2,-y+1/2,-z'
'-x+1/2,y+1/2,-z'
'x+1/2,-y+1/2,z'
loop_
_atom_site_label
_atom_site_type_symbol
_atom_site_fract_x
_atom_site_fract_y
_atom_site_fract_z
_atom_site_occupancy
Pm1 Pm 0.000 0.000 0.000 1
Pm2 Pm 0.123 0.000 0.382 1
Pr1 Pr 0.123 0.000 0.862 1
Pr2 Pr 0.242 0.500 0.738 1
Ho1 Ho 0.000 0.500 0.500 1
```


Entry 5:
A geometry-optimized ZrBSe4 structure, computed with PBE-GGA.

Calculated values
crystal system: orthorhombic
E_tot: -63.28 eV for the cell shown
raw formation energy: -413 meV/atom

CIF file:
```
data_ZrBSe4
_chemical_formula_sum 'Zr2 B2 Se8'
_cell_length_a 5.739
_cell_length_b 5.763
_cell_length_c 12.341
_cell_angle_alpha 90.00
_cell_angle_beta 90.00
_cell_angle_gamma 90.00
_symmetry_space_group_name_H-M 'P 2 2 2'
_symmetry_Int_Tables_number 16
loop_
_symmetry_equiv_pos_as_xyz
'x,y,z'
'-x,-y,z'
'x,-y,-z'
'-x,y,-z'
loop_
_atom_site_label
_atom_site_type_symbol
_atom_site_fract_x
_atom_site_fract_y
_atom_site_fract_z
_atom_site_occupancy
Zr1 Zr 0.000 0.000 0.000 1
Zr2 Zr 0.500 0.000 0.500 1
B1 B 0.000 0.000 0.500 1
B2 B 0.000 0.500 0.000 1
Se1 Se 0.188 0.219 0.605 1
Se2 Se 0.219 0.312 0.104 1
```


Entry 6:
A geometry-optimized V3IrS structure, computed with PBE-GGA.

Calculated values
crystal system: cubic
E_tot: -35.50 eV for the cell shown
raw formation energy: 968 meV/atom
energy relative to the lowest polymorph listed for this composition: 84.73 kJ per mole of atoms

CIF file:
```
data_V3IrS
_chemical_formula_sum 'V3 Ir1 S1'
_cell_length_a 4.694
_cell_length_b 4.694
_cell_length_c 4.694
_cell_angle_alpha 90.00
_cell_angle_beta 90.00
_cell_angle_gamma 90.00
_symmetry_space_group_name_H-M 'P m -3 m'
_symmetry_Int_Tables_number 221
_symmetry_space_group_name_Hall '-P 4 2 3'
loop_
_atom_site_label
_atom_site_type_symbol
_atom_site_fract_x
_atom_site_fract_y
_atom_site_fract_z
_atom_site_occupancy
V1 V 0.000 0.000 0.500 1
Ir1 Ir 0.000 0.000 0.000 1
S1 S 0.500 0.500 0.500 1
```


Entry 7:
A geometry-optimized LaThInPb structure, computed with PBE-GGA.

Calculated values
crystal system: cubic
E_tot: -80.03 eV for the cell shown
formation enthalpy at 0 K: -0.30 eV per atom

CIF file:
```
data_LaThInPb
_chemical_formula_sum 'La4 Th4 In4 Pb4'
_cell_length_a 7.893
_cell_length_b 7.893
_cell_length_c 7.893
_cell_angle_alpha 90.00
_cell_angle_beta 90.00
_cell_angle_gamma 90.00
_symmetry_space_group_name_H-M 'F -4 3 m'
_symmetry_Int_Tables_number 216
_symmetry_space_group_name_Hall 'F -4 2 3'
loop_
_atom_site_label
_atom_site_type_symbol
_atom_site_fract_x
_atom_site_fract_y
_atom_site_fract_z
_atom_site_occupancy
La1 La 0.000 0.000 0.000 1
Th1 Th 0.000 0.000 0.500 1
In1 In 0.250 0.250 0.250 1
Pb1 Pb 0.250 0.250 0.750 1
```


Entry 8:
A geometry-optimized Tb4TlCu structure, computed with PBE-GGA.

Calculated values
crystal system: monoclinic
E_tot: -50.20 eV for the cell shown
formation enthalpy at 0 K: -0.02 eV per atom
energy relative to the lowest polymorph listed for this composition: 14.29 kJ per mole of atoms

CIF file:
```
data_Tb4TlCu
_chemical_formula_sum 'Tb8 Tl2 Cu2'
_cell_length_a 6.365
_cell_length_b 8.971
_cell_length_c 6.052
_cell_angle_alpha 90.00
_cell_angle_beta 105.83
_cell_angle_gamma 90.00
_symmetry_space_group_name_H-M 'P 1 21/c 1'
_symmetry_Int_Tables_number 14
loop_
_symmetry_equiv_pos_as_xyz
'x,y,z'
'-x,-y,-z'
'-x,y+1/2,-z+1/2'
'x,-y+1/2,z+1/2'
loop_
_atom_site_label
_atom_site_type_symbol
_atom_site_fract_x
_atom_site_fract_y
_atom_site_fract_z
_atom_site_occupancy
Tb1 Tb 0.105 0.170 0.126 1
Tb2 Tb 0.371 0.654 0.930 1
Tl1 Tl 0.500 0.000 0.000 1
Cu1 Cu 0.000 0.000 0.500 1
```


Entry 9:
A geometry-optimized Li2CaPr structure, computed with PBE-GGA.

Calculated values
crystal system: tetragonal
E_tot: -10.28 eV for the cell shown
formation enthalpy at 0 K: 0.08 eV per atom
energy relative to the lowest polymorph listed for this composition: 0.00 kJ per mole of atoms

CIF file:
```
data_Li2CaPr
_chemical_formula_sum 'Li2 Ca1 Pr1'
_cell_length_a 3.848
_cell_length_b 3.848
_cell_length_c 7.973
_cell_angle_alpha 90.00
_cell_angle_beta 90.00
_cell_angle_gamma 90.00
_symmetry_space_group_name_H-M 'P 4/m m m'
_symmetry_Int_Tables_number 123
_symmetry_space_group_name_Hall '-P 4 2'
loop_
_atom_site_label
_atom_site_type_symbol
_atom_site_fract_x
_atom_site_fract_y
_atom_site_fract_z
_atom_site_occupancy
Li1 Li 0.000 0.000 0.246 1
Ca1 Ca 0.500 0.500 0.500 1
Pr1 Pr 0.500 0.500 0.000 1
```


Entry 10:
A geometry-optimized Rb2AgCl6F structure, computed with PBE-GGA.

Calculated values
crystal system: tetragonal
E_tot: -53.43 eV for the cell shown
raw formation energy: -898 meV/atom

CIF file:
```
data_Rb2AgCl6F
_chemical_formula_sum 'Rb4 Ag2 Cl12 F2'
_cell_length_a 7.687
_cell_length_b 7.687
_cell_length_c 9.094
_cell_angle_alpha 90.00
_cell_angle_beta 90.00
_cell_angle_gamma 90.00
_symmetry_space_group_name_H-M 'I 4/m m m'
_symmetry_Int_Tables_number 139
_symmetry_space_group_name_Hall '-I 4 2'
loop_
_atom_site_label
_atom_site_type_symbol
_atom_site_fract_x
_atom_site_fract_y
_atom_site_fract_z
_atom_site_occupancy
Rb1 Rb 0.000 0.500 0.250 1
Ag1 Ag 0.000 0.000 0.000 1
Cl1 Cl 0.000 0.000 0.277 1
Cl2 Cl 0.221 0.221 0.000 1
F1 F 0.000 0.000 0.500 1
```